1.
A plane-wave DFT calculation with GGA-PBE was carried out for AcErCdIn after structural relaxation.

## Properties
The calculation puts the size of the total moment at 0.0 μB per cell. Its formation energy is -0.3325 eV per atom. The value obtained for the total DFT energy (no corrections) is -3.4137 eV/atom. For the density of states at the Fermi level, the calculation gives 4.3 states/eV per cell. As for the space group: No. 216.

a = 5.558 Å, b = 5.558 Å, c = 5.558 Å
α = 60.00°, β = 60.00°, γ = 60.00°
Fractional coordinates of all 4 atoms:
Cd: 0.750 0.750 0.750
Ac: 0.000 0.000 0.000
In: 0.250 0.250 0.250
Er: 0.500 0.500 0.500

2.
A plane-wave DFT calculation with GGA-PBE was carried out for ZrRh2Cl after structural relaxation.

## Properties
The calculation puts the size of the total moment at 0.0 μB per cell. The value obtained for the total DFT energy (no corrections) is -6.4247 eV/atom. For the density of states at the Fermi level, the calculation gives 3.3 states/eV per cell. As for the space group: No. 139. As for the uncorrected formation energy: -0.150 eV per atom.

a = 5.104 Å, b = 5.104 Å, c = 5.104 Å
α = 134.59°, β = 134.59°, γ = 66.16°
Fractional coordinates of all 4 atoms:
Zr: 0.250 0.750 0.500
Rh: 0.500 0.500 0.000
Rh: 0.000 0.000 0.000
Cl: 0.750 0.250 0.500

3.
A plane-wave DFT calculation with GGA-PBE was carried out for KBaMn3 after structural relaxation.

## Properties
The calculation puts the size of the total moment at 12.1 μB per cell. Its formation energy is 1.5885 eV per atom. The value obtained for the total DFT energy (no corrections) is -4.5172 eV/atom. For the density of states at the Fermi level, the calculation gives 6.5 states/eV per cell. As for the space group: No. 221.

a = 5.988 Å, b = 5.988 Å, c = 5.988 Å
α = 90.00°, β = 90.00°, γ = 90.00°
Fractional coordinates of all 5 atoms:
Ba: 0.000 0.000 0.000
K: 0.500 0.500 0.500
Mn: 0.500 0.000 0.000
Mn: 0.000 0.500 0.000
Mn: 0.000 0.000 0.500